(1)
Density functional theory data (SCAN) for AlHg2Te at its PBEsol-relaxed geometry.

## Properties
Total energy, eV/atom: -45.403
M_tot, μB/cell: 0.0
ΔE_f (raw), kcal/mol of atoms: -1.601
Energy above the most stable polymorph in this dataset, eV/atom: 0.066

abc: 3.7040 3.7040 8.1226
angles: 90.00 90.00 90.00
Last column: nearest neighbours and their distance in Å.
Fractional positions:
1 Al 0.0000 0.0000 0.0000  1 Hg 2.58, 4 Te 2.78
2 Hg 0.0000 0.0000 0.6828  1 Al 2.58
3 Hg 0.5000 0.5000 0.4987  4 Hg 3.02, 1 Te 3.13
4 Te 0.5000 0.5000 0.1137  4 Al 2.78

(2)
Density functional theory data (SCAN) for AlHgTe2 at its PBEsol-relaxed geometry.

## Properties
Total energy, eV/atom: -37.779
M_tot, μB/cell: 0.0
ΔE_f (raw), kcal/mol of atoms: -4.010

abc: 6.8484 6.8484 6.8484
angles: 115.69 115.69 97.64
Last column: nearest neighbours and their distance in Å.
Fractional positions:
1 Al 0.0000 0.0000 0.0000  4 Te 2.63
2 Al 0.7500 0.2500 0.5000  4 Te 2.63
3 Hg 0.2500 0.7500 0.5000  4 Te 3.01
4 Hg 0.5000 0.5000 0.0000  4 Te 3.01
5 Te 0.0849 0.6250 0.9599  2 Al 2.63
6 Te 0.3750 0.3349 0.4599  2 Al 2.63
7 Te 0.6651 0.1250 0.0401  2 Al 2.63
8 Te 0.8750 0.9151 0.5401  2 Al 2.63

(3)
Density functional theory data (SCAN) for Al3HgTe at its PBEsol-relaxed geometry.

## Properties
Total energy, eV/atom: -24.776
M_tot, μB/cell: 0.0
ΔE_f (raw), kcal/mol of atoms: 22.107

abc: 5.3256 5.3256 5.3256
angles: 90.00 90.00 90.00
Last column: nearest neighbours and their distance in Å.
Fractional positions:
1 Al 0.0000 0.0000 0.5000  2 Te 2.66
2 Al 0.0000 0.5000 0.0000  2 Te 2.66
3 Al 0.5000 0.0000 0.0000  2 Te 2.66
4 Hg 0.5000 0.5000 0.5000  12 Al 3.77
5 Te 0.0000 0.0000 0.0000  6 Al 2.66